# MnPtO3 (PBE+U, relaxed)
data_MnPtO3
_cell_length_a 3.7820
_cell_length_b 3.7820
_cell_length_c 3.7820
_cell_angle_alpha 90.00
_cell_angle_beta 90.00
_cell_angle_gamma 90.00
_symmetry_space_group_name_H-M 'P m -3 m'
_symmetry_Int_Tables_number 221
_symmetry_space_group_name_Hall '-P 4 2 3'
loop_
_atom_site_label
_atom_site_type_symbol
_atom_site_fract_x
_atom_site_fract_y
_atom_site_fract_z
Mn1 Mn 0.0000 0.0000 0.0000
Pt1 Pt 0.5000 0.5000 0.5000
O1 O 0.0000 0.0000 0.5000
# Density: 9.148 Mg/m³
# N(E_F): 0.51 states/eV/atom
# Total magnetic moment: 1.0 Bohr magnetons per cell
# DFT total energy: -5.80 eV/atom